Entry 1:
# NdSm2Y2Ho2

An optimized crystal structure of NdSm2Y2Ho2 (PBE-GGA, Alexandria via LeMat-Bulk).

Calculated values
SG   C2/m (12)

a = 6.210 Å, b = 6.210 Å, c = 8.031 Å
α = 97.28°, β = 97.28°, γ = 48.28°
Sites, in units of the cell vectors:
Nd 0.000 0.000 0.000
Sm 0.428 0.428 0.288
Sm 0.572 0.572 0.712
Y 0.286 0.286 0.855
Y 0.714 0.714 0.145
Ho 0.143 0.143 0.430
Ho 0.857 0.857 0.570

Entry 2:
# NdSm2Y4Ho2

An optimized crystal structure of NdSm2Y4Ho2 (PBE-GGA, Alexandria via LeMat-Bulk).

Calculated values
SG   C2/m (12)

a = 9.556 Å, b = 9.556 Å, c = 9.613 Å
α = 115.19°, β = 115.19°, γ = 21.84°
Sites, in units of the cell vectors:
Nd 0.000 0.000 0.000
Sm 0.148 0.148 0.667
Sm 0.852 0.852 0.333
Y 0.185 0.185 0.334
Y 0.481 0.481 0.666
Y 0.519 0.519 0.334
Y 0.815 0.815 0.666
Ho 0.332 0.332 0.999
Ho 0.668 0.668 0.001

Entry 3:
# Nd6Sm2Y3Ho

An optimized crystal structure of Nd6Sm2Y3Ho (PBE-GGA, Alexandria via LeMat-Bulk).

Calculated values
SG   C2/m (12)

a = 6.307 Å, b = 6.307 Å, c = 11.957 Å
α = 95.03°, β = 95.03°, γ = 120.00°
Sites, in units of the cell vectors:
Nd 0.084 0.416 0.751
Nd 0.249 0.249 0.249
Nd 0.416 0.084 0.751
Nd 0.584 0.916 0.249
Nd 0.751 0.751 0.751
Nd 0.916 0.584 0.249
Sm 0.333 0.667 0.500
Sm 0.667 0.333 0.500
Y 0.167 0.833 0.000
Y 0.500 0.500 0.000
Y 0.833 0.167 0.000
Ho 0.000 0.000 0.500

Values of DFT total energy, in order: -5.17, -5.47, -5.16, all in eV per atom.